Computed, not measured: CdFe2TcTe after structural relaxation at the GGA-PBE level of DFT.

```
CdFe2TcTe
1.0
4.675 0.000 0.000
0.000 4.675 0.000
0.000 0.000 5.376
Cd Fe Tc Te
1 2 1 1
direct
0.000 0.000 0.000
0.000 0.500 0.500
0.500 0.000 0.500
0.500 0.500 0.000
0.000 0.000 0.500
```

Properties
D(E_F): 10.00 states/eV/f.u.
M_tot: 7.993 Bohr magnetons per cell
formation energy from raw total energies: 1.65 eV/atom

Computed, not measured: CdFeTe3 after structural relaxation at the GGA-PBE level of DFT.

```
CdFeTe3
1.0
5.101 0.000 0.000
0.000 5.101 0.000
0.000 0.000 5.101
Cd Fe Te
1 1 3
direct
0.000 0.000 0.000
0.500 0.500 0.500
0.000 0.500 0.500
0.500 0.000 0.500
0.500 0.500 0.000
```

Properties
D(E_F): 10.17 states/eV/f.u.
energy relative to the lowest polymorph listed for this composition: 0 meV/atom
M_tot: 0.000 Bohr magnetons per cell
formation energy from raw total energies: 0.42 eV/atom

Computed, not measured: CdFeTe after structural relaxation at the GGA-PBE level of DFT.

```
CdFeTe
1.0
0.000 3.160 3.160
3.160 0.000 3.160
3.160 3.160 0.000
Cd Fe Te
1 1 1
direct
0.000 0.000 0.000
0.750 0.750 0.750
0.500 0.500 0.500
```

Properties
D(E_F): 2.55 states/eV/f.u.
energy relative to the lowest polymorph listed for this composition: 6 meV/atom
M_tot: 1.998 Bohr magnetons per cell
formation energy from raw total energies: 0.25 eV/atom

Computed, not measured: CdFe2Te after structural relaxation at the GGA-PBE level of DFT.

```
CdFe2Te
1.0
0.000 3.317 3.317
3.317 0.000 3.317
3.317 3.317 0.000
Cd Fe Te
1 2 1
direct
0.000 0.000 0.000
0.250 0.250 0.250
0.500 0.500 0.500
0.750 0.750 0.750
```

Properties
D(E_F): 3.38 states/eV/f.u.
energy relative to the lowest polymorph listed for this composition: 407 meV/atom
M_tot: 5.391 Bohr magnetons per cell
formation energy from raw total energies: 0.64 eV/atom

Computed, not measured: CdFe2Te after structural relaxation at the GGA-PBE level of DFT.

```
CdFe2Te
1.0
3.126 -3.114 0.000
3.126 3.114 0.000
-0.007 0.000 3.450
Cd Fe Te
1 2 1
direct
0.000 0.000 0.000
0.000 0.500 0.500
0.500 0.000 0.500
0.500 0.500 0.000
```

Properties
D(E_F): 5.03 states/eV/f.u.
energy relative to the lowest polymorph listed for this composition: 251 meV/atom
M_tot: 4.501 Bohr magnetons per cell
formation energy from raw total energies: 0.48 eV/atom

Computed, not measured: CdFe2Te after structural relaxation at the GGA-PBE level of DFT.

```
CdFe2Te
1.0
3.964 0.000 0.000
0.000 1.822 4.998
0.000 -1.822 4.998
Cd Fe Te
1 2 1
direct
0.000 0.000 0.000
0.000 0.715 0.715
0.500 0.576 0.576
0.500 0.290 0.290
```

Properties
D(E_F): 4.02 states/eV/f.u.
energy relative to the lowest polymorph listed for this composition: 81 meV/atom
M_tot: 5.087 Bohr magnetons per cell
formation energy from raw total energies: 0.31 eV/atom

Computed, not measured: Cd3FeTe after structural relaxation at the GGA-PBE level of DFT.

```
Cd3FeTe
1.0
5.124 0.000 0.000
0.000 5.124 0.000
0.000 0.000 5.124
Cd Fe Te
3 1 1
direct
0.000 0.000 0.500
0.000 0.500 0.000
0.500 0.000 0.000
0.000 0.000 0.000
0.500 0.500 0.500
```

Properties
D(E_F): 4.88 states/eV/f.u.
energy relative to the lowest polymorph listed for this composition: 0 meV/atom
M_tot: 2.909 Bohr magnetons per cell
formation energy from raw total energies: 0.51 eV/atom

Computed, not measured: CdFeTe after structural relaxation at the GGA-PBE level of DFT.

```
CdFeTe
1.0
-1.560 1.560 6.469
1.560 -1.560 6.469
1.560 1.560 -6.469
Cd Fe Te
1 1 1
direct
0.000 0.000 0.000
0.359 0.359 0.000
0.754 0.754 0.000
```

Properties
D(E_F): 1.68 states/eV/f.u.
energy relative to the lowest polymorph listed for this composition: 20 meV/atom
M_tot: 0.497 Bohr magnetons per cell
formation energy from raw total energies: 0.26 eV/atom

Computed, not measured: CdFeTe4 after structural relaxation at the GGA-PBE level of DFT.

```
CdFeTe4
1.0
0.000 4.485 4.485
4.485 0.000 4.485
4.485 4.485 0.000
Cd Fe Te
1 1 4
direct
0.000 0.000 0.000
0.750 0.750 0.750
0.375 0.375 0.375
0.375 0.375 0.875
0.375 0.875 0.375
0.875 0.375 0.375
```

Properties
D(E_F): 8.20 states/eV/f.u.
M_tot: 3.940 Bohr magnetons per cell
formation energy from raw total energies: 0.79 eV/atom

Computed, not measured: CdFeTe after structural relaxation at the GGA-PBE level of DFT.

```
CdFeTe
1.0
3.380 0.000 0.000
-1.690 2.927 0.000
0.000 0.000 6.465
Cd Fe Te
1 1 1
direct
0.000 0.000 0.000
0.667 0.333 0.304
0.333 0.667 0.550
```

Properties
D(E_F): 2.12 states/eV/f.u.
energy relative to the lowest polymorph listed for this composition: 0 meV/atom
M_tot: 1.489 Bohr magnetons per cell
formation energy from raw total energies: 0.24 eV/atom

Computed, not measured: CdFe2Te after structural relaxation at the GGA-PBE level of DFT.

```
CdFe2Te
1.0
1.565 0.903 8.312
-1.565 0.903 8.312
0.000 -1.807 8.312
Cd Fe Te
1 2 1
direct
0.000 0.000 0.000
0.246 0.246 0.246
0.754 0.754 0.754
0.500 0.500 0.500
```

Properties
D(E_F): 2.40 states/eV/f.u.
energy relative to the lowest polymorph listed for this composition: 267 meV/atom
M_tot: 4.781 Bohr magnetons per cell
formation energy from raw total energies: 0.50 eV/atom

Computed, not measured: CdFe2Te after structural relaxation at the GGA-PBE level of DFT.

```
CdFe2Te
1.0
3.155 0.000 0.000
0.000 3.155 0.000
0.000 0.000 7.678
Cd Fe Te
1 2 1
direct
0.000 0.000 0.000
0.000 0.000 0.377
0.500 0.500 0.220
0.500 0.500 0.576
```

Properties
D(E_F): 3.28 states/eV/f.u.
energy relative to the lowest polymorph listed for this composition: 0 meV/atom
M_tot: 4.404 Bohr magnetons per cell
formation energy from raw total energies: 0.23 eV/atom

Computed, not measured: CdFe3Te after structural relaxation at the GGA-PBE level of DFT.

```
CdFe3Te
1.0
4.722 0.000 0.000
0.000 4.722 0.000
0.000 0.000 4.722
Cd Fe Te
1 3 1
direct
0.000 0.000 0.000
0.000 0.500 0.500
0.500 0.000 0.500
0.500 0.500 0.000
0.500 0.500 0.500
```

Properties
D(E_F): 3.21 states/eV/f.u.
energy relative to the lowest polymorph listed for this composition: 0 meV/atom
M_tot: 6.848 Bohr magnetons per cell
formation energy from raw total energies: 1.03 eV/atom

Computed, not measured: CdFe2Te after structural relaxation at the GGA-PBE level of DFT.

```
CdFe2Te
1.0
4.501 -1.595 0.000
4.501 1.595 0.000
-4.015 0.000 6.000
Cd Fe Te
1 2 1
direct
0.000 0.000 0.000
0.282 0.282 0.639
0.718 0.718 0.361
0.500 0.500 0.500
```

Properties
D(E_F): 3.03 states/eV/f.u.
energy relative to the lowest polymorph listed for this composition: 186 meV/atom
M_tot: 4.735 Bohr magnetons per cell
formation energy from raw total energies: 0.41 eV/atom

Computed, not measured: CdFe2Te after structural relaxation at the GGA-PBE level of DFT.

```
CdFe2Te
1.0
-1.980 1.980 4.415
1.980 -1.980 4.415
1.980 1.980 -4.415
Cd Fe Te
1 2 1
direct
0.000 0.000 0.000
0.250 0.750 0.500
0.500 0.500 0.000
0.750 0.250 0.500
```

Properties
D(E_F): 3.78 states/eV/f.u.
energy relative to the lowest polymorph listed for this composition: 254 meV/atom
M_tot: 5.138 Bohr magnetons per cell
formation energy from raw total energies: 0.48 eV/atom

Computed, not measured: CdFe2Te after structural relaxation at the GGA-PBE level of DFT.

```
CdFe2Te
1.0
0.000 3.200 3.200
3.200 0.000 3.200
3.200 3.200 0.000
Cd Fe Te
1 2 1
direct
0.000 0.000 0.000
0.250 0.250 0.250
0.750 0.750 0.750
0.500 0.500 0.500
```

Properties
D(E_F): 6.54 states/eV/f.u.
energy relative to the lowest polymorph listed for this composition: 291 meV/atom
M_tot: 3.930 Bohr magnetons per cell
formation energy from raw total energies: 0.52 eV/atom

Computed, not measured: CdFe2Te after structural relaxation at the GGA-PBE level of DFT.

```
CdFe2Te
1.0
-2.101 2.101 4.005
2.101 -2.101 4.005
2.101 2.101 -4.005
Cd Fe Te
1 2 1
direct
0.000 0.000 0.000
0.250 0.750 0.500
0.750 0.250 0.500
0.500 0.500 0.000
```

Properties
D(E_F): 4.81 states/eV/f.u.
energy relative to the lowest polymorph listed for this composition: 295 meV/atom
M_tot: 5.482 Bohr magnetons per cell
formation energy from raw total energies: 0.52 eV/atom

Computed, not measured: CdFe2Te after structural relaxation at the GGA-PBE level of DFT.

```
CdFe2Te
1.0
-1.502 2.267 5.580
1.502 -2.267 5.580
1.502 2.267 -5.580
Cd Fe Te
1 2 1
direct
0.000 0.000 0.000
0.348 0.848 0.500
0.519 0.519 0.000
0.723 0.223 0.500
```

Properties
D(E_F): 3.10 states/eV/f.u.
energy relative to the lowest polymorph listed for this composition: 127 meV/atom
M_tot: 4.966 Bohr magnetons per cell
formation energy from raw total energies: 0.36 eV/atom

Computed, not measured: CdFe2Te after structural relaxation at the GGA-PBE level of DFT.

```
CdFe2Te
1.0
3.111 0.000 0.000
0.000 3.952 0.000
-0.016 0.000 6.172
Cd Fe Te
1 2 1
direct
0.000 0.000 0.000
0.497 0.500 0.803
0.503 0.500 0.197
0.500 0.000 0.500
```

Properties
D(E_F): 4.15 states/eV/f.u.
energy relative to the lowest polymorph listed for this composition: 219 meV/atom
M_tot: 5.509 Bohr magnetons per cell
formation energy from raw total energies: 0.45 eV/atom

Computed, not measured: CdFe2Te after structural relaxation at the GGA-PBE level of DFT.

```
CdFe2Te
1.0
-3.482 3.482 2.921
3.482 -3.482 2.921
3.482 3.482 -2.921
Cd Fe Te
2 4 2
direct
0.000 0.000 0.000
0.750 0.250 0.500
0.160 0.125 0.535
0.375 0.840 0.965
0.590 0.625 0.465
0.875 0.410 0.035
0.250 0.750 0.500
0.500 0.500 0.000
```

Properties
D(E_F): 1.91 states/eV/f.u.
energy relative to the lowest polymorph listed for this composition: 664 meV/atom
M_tot: 0.000 Bohr magnetons per cell
formation energy from raw total energies: 0.89 eV/atom